[1]
The following is a DFT calculation (PBE-GGA) of a geometry-optimized BaPaSiO5 structure.

Values from the calculation:
The value obtained for the raw formation energy is -3089 meV/atom.

Geometry as POSCAR:
```
BaPaSiO5
1.0
6.144 -0.007 -0.006
-1.800 5.874 -0.006
-1.812 -2.448 7.374
O Ba Si Pa
10 2 2 2
Direct
0.920 0.080 0.750
0.756 0.590 0.390
0.410 0.244 0.110
0.693 0.126 0.371
0.244 0.410 0.610
0.590 0.756 0.890
0.874 0.307 0.129
0.126 0.693 0.871
0.307 0.874 0.629
0.080 0.920 0.250
0.660 0.340 0.750
0.340 0.660 0.250
0.685 0.315 0.250
0.315 0.685 0.750
0.000 0.000 0.000
0.000 0.000 0.500
```

[2]
The following is a DFT calculation (PBE-GGA) of a geometry-optimized La4Dy4Er structure.

Values from the calculation:
Its energy of formation is 0.0279 eV per atom.

Geometry as POSCAR:
```
La4Dy4Er
1.0
5.144 0.000 0.000
2.572 7.683 0.000
2.572 0.000 7.683
Er Dy La
1 4 4
Direct
0.000 0.000 0.000
0.000 0.664 0.336
0.336 0.664 0.664
0.000 0.336 0.664
0.664 0.336 0.336
0.667 0.666 0.000
0.333 0.000 0.334
0.667 0.000 0.666
0.333 0.334 0.000
```

[3]
The following is a DFT calculation (PBE-GGA) of a geometry-optimized KLi2InIr structure.

Values from the calculation:
Its energy of formation is 1.1710 eV per atom.

Geometry as POSCAR:
```
KLi2InIr
1.0
-0.696 4.688 -1.839
-5.924 -0.710 0.434
0.122 1.871 4.725
Ir In K Li
1 1 1 2
Direct
0.500 0.500 0.500
0.000 0.000 0.000
0.000 0.500 0.000
0.500 0.000 0.000
0.000 0.000 0.500
```

[4]
The following is a DFT calculation (PBE-GGA) of a geometry-optimized NdYTh2 structure.

Values from the calculation:
Its energy of formation is 0.0481 eV per atom.

Geometry as POSCAR:
```
NdYTh2
1.0
3.600 0.000 0.000
1.800 3.118 0.000
1.800 1.039 11.675
Y Th Nd
1 2 1
Direct
0.500 0.500 0.500
0.751 0.751 0.748
0.249 0.249 0.252
0.000 0.000 0.000
```

[5]
The following is a DFT calculation (PBE-GGA) of a geometry-optimized Rb2CdAuBr6 structure.

Values from the calculation:
The value obtained for the raw formation energy is -943 meV/atom.

Geometry as POSCAR:
```
Rb2CdAuBr6
1.0
-5.778 0.211 -5.234
3.162 -6.073 -3.735
-4.263 -6.389 -1.362
Br Rb Au Cd
6 2 1 1
Direct
0.752 0.248 0.000
0.248 0.248 0.503
0.248 0.248 0.000
0.248 0.752 0.000
0.752 0.752 0.497
0.752 0.752 0.000
0.250 0.750 0.500
0.750 0.250 0.500
0.000 0.000 0.000
0.500 0.500 0.000
```

[6]
The following is a DFT calculation (PBE-GGA) of a geometry-optimized AsRu2Se structure.

Values from the calculation:
The value obtained for the raw formation energy is 363 meV/atom.

Geometry as POSCAR:
```
AsRu2Se
1.0
-0.092 -0.869 5.149
4.180 -2.013 2.399
-1.130 3.842 -3.352
Se Ru As
1 2 1
Direct
0.500 0.500 0.000
0.250 0.750 0.500
0.000 0.000 0.000
0.750 0.250 0.500
```

Computed E (eV per atom) in order:
-8.293 -4.714 -2.134 -6.470 -2.559 -6.308
Computed V (Å³/atom) in order:
16.6 33.7 30.9 32.8 33.6 15.3